First-principles (GGA-PBE) data for Er3Co7Ni2 after structural relaxation, as listed in OQMD via LeMat-Bulk.

The total energy comes out at -6.462 eV/atom. For the energy of formation, the calculation gives -247 meV/atom. The value obtained for the total moment is 8.34 μB/f.u. The space-group type is R-3m, No. 166. The calculated volume is 14.0 A^3/atom.

Lattice parameters (Å, degrees): 8.6052 8.6052 8.6052 33.04 33.04 33.04
With the nearest neighbours (Å) after each atom.
Positions (direct):
Er 0.0000 0.0000 0.0000  6 Ni 2.83, 12 Co 3.16
Er 0.1397 0.1397 0.1397  12 Co 2.82-3.07, 3 Er 3.12
Er 0.8603 0.8603 0.8603  12 Co 2.82-3.07, 3 Er 3.12
Co 0.0801 0.5828 0.5828  5 Co 2.43-2.51, 2 Ni 2.44-2.45
Co 0.4172 0.4172 0.9199  5 Co 2.43-2.51, 2 Ni 2.44-2.45
Co 0.4172 0.9199 0.4172  5 Co 2.43-2.51, 2 Ni 2.44-2.45
Co 0.5000 0.5000 0.5000  6 Co 2.51
Co 0.5828 0.0801 0.5828  5 Co 2.43-2.51, 2 Ni 2.44-2.45
Co 0.5828 0.5828 0.0801  5 Co 2.43-2.51, 2 Ni 2.44-2.45
Co 0.9199 0.4172 0.4172  5 Co 2.43-2.51, 2 Ni 2.44-2.45
Ni 0.3338 0.3338 0.3338  6 Co 2.44-2.45
Ni 0.6662 0.6662 0.6662  6 Co 2.44-2.45

***

First-principles (GGA-PBE) data for Nd3AlGaFe4 after structural relaxation, as listed in OQMD via LeMat-Bulk.

The total energy comes out at -6.148 eV/atom. The value obtained for the total moment is 5.22 μB/f.u. The space-group type is Cm, No. 8. The calculated volume is 19.7 A^3/atom.

Lattice parameters (Å, degrees): 5.6328 5.6328 8.2445 99.88 99.88 43.54
With the nearest neighbours (Å) after each atom.
Positions (direct):
Nd 0.0000 0.0000 0.0000  2 Fe 2.78-2.79
Nd 0.3723 0.3723 0.6232  6 Fe 3.00-3.08, 1 Al 3.16, 1 Ga 3.21
Nd 0.6247 0.6247 0.3764  6 Fe 2.99-3.10, 1 Ga 3.14, 1 Al 3.25
Al 0.6726 0.6726 0.7770  5 Fe 2.47-2.51
Ga 0.3264 0.3264 0.2274  5 Fe 2.48-2.51
Fe 0.0790 0.0790 0.6328  2 Fe 2.47-2.71, 2 Al 2.51
Fe 0.2484 0.2484 0.9246  3 Fe 2.44-2.71, 2 Al 2.47, 1 Ga 2.48
Fe 0.7518 0.7518 0.0784  3 Fe 2.44-2.71, 1 Al 2.47, 2 Ga 2.48
Fe 0.9198 0.9198 0.3703  2 Fe 2.47-2.71, 2 Ga 2.51

***

First-principles (GGA-PBE) data for Ta8Re5 after structural relaxation, as listed in OQMD via LeMat-Bulk.

The total energy comes out at -11.811 eV/atom. For the energy of formation, the calculation gives 261 meV/atom. The value obtained for the distance to the lowest polymorph of the same formula is 97.8 meV per atom. The value obtained for the total moment is 0.05 μB/f.u. The space-group type is R-3m, No. 166. The calculated volume is 17.4 A^3/atom.

Lattice parameters (Å, degrees): 9.8190 9.8190 9.8190 31.21 31.21 31.21
With the nearest neighbours (Å) after each atom.
Positions (direct):
Ta 0.0920 0.0920 0.5880  4 Ta 2.62-2.66, 1 Re 2.63
Ta 0.0920 0.5880 0.0920  4 Ta 2.62-2.66, 1 Re 2.63
Ta 0.1674 0.1674 0.1674  9 Ta 2.94-3.05, 6 Re 3.27-3.28
Ta 0.4120 0.9080 0.9080  4 Ta 2.62-2.66, 1 Re 2.63
Ta 0.5880 0.0920 0.0920  4 Ta 2.62-2.66, 1 Re 2.63
Ta 0.8326 0.8326 0.8326  9 Ta 2.94-3.05, 6 Re 3.27-3.28
Ta 0.9080 0.4120 0.9080  4 Ta 2.62-2.66, 1 Re 2.63
Ta 0.9080 0.9080 0.4120  4 Ta 2.62-2.66, 1 Re 2.63
Re 0.0000 0.0000 0.0000  6 Ta 2.63
Re 0.3484 0.3484 0.3484  9 Ta 2.97-3.14, 7 Re 3.04-3.17
Re 0.4572 0.4572 0.4572  1 Re 2.40
Re 0.5428 0.5428 0.5428  1 Re 2.40
Re 0.6516 0.6516 0.6516  9 Ta 2.97-3.14, 7 Re 3.04-3.17

***

First-principles (GGA-PBE) data for Dy3Tl5 after structural relaxation, as listed in OQMD via LeMat-Bulk.

The total energy comes out at -3.491 eV/atom. The value obtained for the total moment is 0.01 μB/f.u. The space-group type is Cmcm, No. 63. The calculated volume is 26.5 A^3/atom.

Lattice parameters (Å, degrees): 6.4438 6.4438 10.4482 90.00 90.00 77.64
With the nearest neighbours (Å) after each atom.
Positions (direct):
Dy 0.1085 0.8915 0.7500  9 Tl 3.08-3.42
Dy 0.2930 0.2930 0.0000  10 Tl 3.20-3.50
Dy 0.2930 0.2930 0.5000  10 Tl 3.20-3.50
Dy 0.7070 0.7070 0.0000  10 Tl 3.20-3.50
Dy 0.7070 0.7070 0.5000  10 Tl 3.20-3.50
Dy 0.8915 0.1085 0.2500  9 Tl 3.08-3.42
Tl 0.0112 0.4345 0.7500  6 Dy 3.14-3.50, 4 Tl 3.16-3.27
Tl 0.1988 0.8012 0.0362  6 Dy 3.08-3.37, 4 Tl 3.16-3.30
Tl 0.1988 0.8012 0.4638  6 Dy 3.08-3.37, 4 Tl 3.16-3.30
Tl 0.4345 0.0112 0.2500  6 Dy 3.14-3.50, 4 Tl 3.16-3.27
Tl 0.4987 0.5013 0.2500  5 Dy 3.17-3.34, 6 Tl 3.22-3.30
Tl 0.5013 0.4987 0.7500  5 Dy 3.17-3.34, 6 Tl 3.22-3.30
Tl 0.5655 0.9888 0.7500  6 Dy 3.14-3.50, 4 Tl 3.16-3.27
Tl 0.8012 0.1988 0.5362  6 Dy 3.08-3.37, 4 Tl 3.16-3.30
Tl 0.8012 0.1988 0.9638  6 Dy 3.08-3.37, 4 Tl 3.16-3.30
Tl 0.9888 0.5655 0.2500  6 Dy 3.14-3.50, 4 Tl 3.16-3.27

***

First-principles (GGA-PBE) data for NpScBi after structural relaxation, as listed in OQMD via LeMat-Bulk.

The total energy comes out at -7.381 eV/atom. The value obtained for the total moment is 6.78 μB/f.u. The space-group type is F-43m, No. 216. The calculated volume is 29.9 A^3/atom.

Lattice parameters (Å, degrees): 5.0222 5.0222 5.0222 60.00 60.00 60.00
With the nearest neighbours (Å) after each atom.
Positions (direct):
Np 0.0000 0.0000 0.0000  4 Sc 3.08
Sc 0.7500 0.7500 0.7500  4 Bi 3.08, 4 Np 3.08
Bi 0.5000 0.5000 0.5000  4 Sc 3.08

***

First-principles (GGA-PBE) data for KHfBeS3 after structural relaxation, as listed in OQMD via LeMat-Bulk.

The total energy comes out at -5.794 eV/atom. The value obtained for the distance to the lowest polymorph of the same formula is 59.9 meV per atom. The value obtained for the total moment is 0.38 μB/f.u. The space-group type is Cmcm, No. 63. The calculated volume is 21.0 A^3/atom.

Lattice parameters (Å, degrees): 7.4352 7.4352 9.7911 90.00 90.00 152.25
With the nearest neighbours (Å) after each atom.
Positions (direct):
K 0.2384 0.7616 0.7500  8 S 3.23-3.57, 2 K 3.57
K 0.7616 0.2384 0.2500  8 S 3.23-3.57, 2 K 3.57
Hf 0.5000 0.5000 0.0000  6 S 2.55-2.59
Hf 0.5000 0.5000 0.5000  6 S 2.55-2.59
Be 0.0413 0.9587 0.2500  4 S 2.10-2.22
Be 0.9587 0.0413 0.7500  4 S 2.10-2.22
S 0.1207 0.8793 0.0707  1 Be 2.10
S 0.1207 0.8793 0.4293  1 Be 2.10
S 0.4502 0.5498 0.2500  2 Be 2.22
S 0.5498 0.4502 0.7500  2 Be 2.22
S 0.8793 0.1207 0.5707  1 Be 2.10
S 0.8793 0.1207 0.9293  1 Be 2.10

***

Repeat the first record exactly.
First-principles (GGA-PBE) data for Er3Co7Ni2 after structural relaxation, as listed in OQMD via LeMat-Bulk.

The total energy comes out at -6.462 eV/atom. For the energy of formation, the calculation gives -247 meV/atom. The value obtained for the total moment is 8.34 μB/f.u. The space-group type is R-3m, No. 166. The calculated volume is 14.0 A^3/atom.

Lattice parameters (Å, degrees): 8.6052 8.6052 8.6052 33.04 33.04 33.04
With the nearest neighbours (Å) after each atom.
Positions (direct):
Er 0.0000 0.0000 0.0000  6 Ni 2.83, 12 Co 3.16
Er 0.1397 0.1397 0.1397  12 Co 2.82-3.07, 3 Er 3.12
Er 0.8603 0.8603 0.8603  12 Co 2.82-3.07, 3 Er 3.12
Co 0.0801 0.5828 0.5828  5 Co 2.43-2.51, 2 Ni 2.44-2.45
Co 0.4172 0.4172 0.9199  5 Co 2.43-2.51, 2 Ni 2.44-2.45
Co 0.4172 0.9199 0.4172  5 Co 2.43-2.51, 2 Ni 2.44-2.45
Co 0.5000 0.5000 0.5000  6 Co 2.51
Co 0.5828 0.0801 0.5828  5 Co 2.43-2.51, 2 Ni 2.44-2.45
Co 0.5828 0.5828 0.0801  5 Co 2.43-2.51, 2 Ni 2.44-2.45
Co 0.9199 0.4172 0.4172  5 Co 2.43-2.51, 2 Ni 2.44-2.45
Ni 0.3338 0.3338 0.3338  6 Co 2.44-2.45
Ni 0.6662 0.6662 0.6662  6 Co 2.44-2.45